Material: Cs2TlTe2
Method: DFT, GGA-PBE
State: optimized geometry

```
data_Cs2TlTe2
_cell_length_a 11.0029
_cell_length_b 11.0029
_cell_length_c 3.7744
_cell_angle_alpha 90.00
_cell_angle_beta 90.00
_cell_angle_gamma 90.00
_symmetry_space_group_name_H-M 'P 4/m b m'
_symmetry_Int_Tables_number 127
_symmetry_space_group_name_Hall '-P 4 2ab'
loop_
_atom_site_label
_atom_site_fract_x
_atom_site_fract_y
_atom_site_fract_z
Cs1 0.1229 0.3771 0.0000
Tl1 0.0000 0.0000 0.0000
Te1 0.1754 0.6754 0.5000
```

Calculated values
ΔE_f (raw) (eV per atom): -0.4907
Total magnetization (Bohr magnetons per cell): 0.000
Final energy (eV per cell): -25.6
V (Å³ per atom): 45.69